Entry 1:
# K2ZnSb

K2ZnSb after structural relaxation (PBE, Alexandria via LeMat-Bulk).

Results
D(E_F) in states/eV per cell: 5.149
Relative energy among the computed polymorphs in eV per atom: 0.191
Formation energy (no corrections) in meV/atom: -51

POSCAR file:
```
K2ZnSb
1.0
4.2535 -1.1279 3.8106
-1.3065 -1.9441 5.3291
1.2087 -5.5016 1.4686
Sb Zn K
1 1 2
direct
0.5000 0.5000 0.5000
0.0000 0.0000 0.0000
0.2500 0.2500 0.2500
0.7500 0.7500 0.7500
```

Entry 2:
# La2NiCCl

La2NiCCl after structural relaxation (PBE, Alexandria via LeMat-Bulk).

Results
D(E_F) in states/eV per cell: 3.089
Formation energy (no corrections) in meV/atom: -705

POSCAR file:
```
La2NiCCl
1.0
5.3274 0.0000 0.0000
0.0000 5.3274 0.0000
0.0000 0.0000 3.6305
Ni C Cl La
1 1 1 2
direct
0.0000 0.0000 0.5000
0.0000 0.0000 0.0000
0.5000 0.5000 0.5000
0.0000 0.5000 0.0000
0.5000 0.0000 0.0000
```

Entry 3:
# Pa2CuP4Ir3

Pa2CuP4Ir3 after structural relaxation (PBE, Alexandria via LeMat-Bulk).

Results
Formation enthalpy at 0 K in eV per atom: -0.825
D(E_F) in states/eV per cell: 5.436

POSCAR file:
```
Pa2CuP4Ir3
1.0
4.2054 0.0000 0.0000
0.0000 4.2054 0.0000
0.0000 0.0000 9.2541
Pa Cu P Ir
2 1 4 3
direct
0.5000 0.0000 0.2505
0.0000 0.5000 0.7495
0.5000 0.5000 0.5000
0.5000 0.5000 0.0000
0.0000 0.0000 0.0000
0.5000 0.0000 0.6312
0.0000 0.5000 0.3688
0.0000 0.0000 0.5000
0.5000 0.0000 0.8867
0.0000 0.5000 0.1133
```

Entry 4:
# SiHPd3

SiHPd3 after structural relaxation (PBE, Alexandria via LeMat-Bulk).

Results
D(E_F) in states/eV per cell: 6.899
Relative energy among the computed polymorphs in eV per atom: 0.000

POSCAR file:
```
SiHPd3
1.0
-0.5495 3.6108 -1.7658
-6.3766 1.3414 4.7346
5.8523 3.1218 4.5696
Si H Pd
4 4 12
direct
0.9977 0.6602 0.8394
0.5023 0.1606 0.3398
0.0023 0.3398 0.1606
0.4977 0.8394 0.6602
0.2500 0.8282 0.1718
0.7500 0.1718 0.8282
0.2500 0.3274 0.6726
0.7500 0.6726 0.3274
0.4995 0.8081 0.9702
0.0005 0.0298 0.1919
0.5005 0.1919 0.0298
0.9995 0.9702 0.8081
0.9996 0.3634 0.8636
0.5004 0.1364 0.6366
0.0004 0.6366 0.1364
0.4996 0.8636 0.3634
0.4990 0.5295 0.6918
0.0010 0.3082 0.4705
0.5010 0.4705 0.3082
0.9990 0.6918 0.5295
```

Entry 5:
# Al2CrRu

Al2CrRu after structural relaxation (PBE, Alexandria via LeMat-Bulk).

Results
Formation enthalpy at 0 K in eV per atom: 0.313
D(E_F) in states/eV per cell: 9.511

POSCAR file:
```
Al2CrRu
1.0
-0.3694 -6.6342 1.4795
-0.4139 -1.4569 -6.6365
2.3152 -4.2251 -2.7079
Ru Al Cr
2 4 2
direct
0.0000 0.0000 0.0000
0.7500 0.2500 0.5000
0.6357 0.1250 0.2500
0.1143 0.6250 0.2500
0.3750 0.3643 0.7500
0.8750 0.8857 0.7500
0.5000 0.5000 0.0000
0.2500 0.7500 0.5000
```

Entry 6:
# YTl2CoHg

YTl2CoHg after structural relaxation (PBE, Alexandria via LeMat-Bulk).

Results
Formation enthalpy at 0 K in eV per atom: -0.040
D(E_F) in states/eV per cell: 2.792

POSCAR file:
```
YTl2CoHg
1.0
-4.1732 0.5773 -2.8109
-2.8664 -0.6049 4.1314
0.1338 4.9413 0.8163
Y Tl Co Hg
1 2 1 1
direct
0.0000 0.0000 0.5000
0.0000 0.5000 0.0000
0.5000 0.0000 0.0000
0.0000 0.0000 0.0000
0.5000 0.5000 0.5000
```

Entry 7:
# SrYRe2

SrYRe2 after structural relaxation (PBE, Alexandria via LeMat-Bulk).

Results
Formation enthalpy at 0 K in eV per atom: 1.081
D(E_F) in states/eV per cell: 5.480
Relative energy among the computed polymorphs in eV per atom: 0.841

POSCAR file:
```
SrYRe2
1.0
4.9959 0.0000 0.0000
0.0000 4.0771 0.0000
0.0000 0.0000 4.0771
Re Sr Y
2 1 1
direct
0.0000 0.0000 0.0000
0.0000 0.5000 0.5000
0.5000 0.5000 0.0000
0.5000 0.0000 0.5000
```

Entry 8:
# RbCd2BiRu

RbCd2BiRu after structural relaxation (PBE, Alexandria via LeMat-Bulk).

Results
Formation enthalpy at 0 K in eV per atom: 0.051
D(E_F) in states/eV per cell: 2.701

POSCAR file:
```
RbCd2BiRu
1.0
5.4215 0.0000 0.0000
0.0000 5.4215 0.0000
0.0000 0.0000 5.1599
Ru Bi Rb Cd
1 1 1 2
direct
0.0000 0.0000 0.0000
0.0000 0.0000 0.5000
0.5000 0.5000 0.5000
0.0000 0.5000 0.0000
0.5000 0.0000 0.0000
```

Entry 9:
# Mg2NbZnCd

Mg2NbZnCd after structural relaxation (PBE, Alexandria via LeMat-Bulk).

Results
Formation enthalpy at 0 K in eV per atom: 1.021
D(E_F) in states/eV per cell: 4.965

POSCAR file:
```
Mg2NbZnCd
1.0
4.9652 0.0000 0.0000
0.0000 4.7601 0.0000
0.0000 0.0000 4.9652
Mg Nb Zn Cd
2 1 1 1
direct
0.0000 0.0000 0.5000
0.5000 0.0000 0.0000
0.5000 0.5000 0.5000
0.0000 0.5000 0.0000
0.0000 0.0000 0.0000
```

Entry 10:
# LaZr2In

LaZr2In after structural relaxation (PBE, Alexandria via LeMat-Bulk).

Results
Formation enthalpy at 0 K in eV per atom: -0.085
D(E_F) in states/eV per cell: 4.411

POSCAR file:
```
LaZr2In
1.0
5.4453 0.0000 0.0000
0.0000 3.2750 0.0130
0.0000 -0.0239 5.7256
In La Zr
1 1 2
direct
0.0000 0.3751 0.5221
0.5000 0.8756 0.7056
0.0000 0.8744 0.0617
0.5000 0.3749 0.2106
```

Entry 11:
# LaY5Er5

LaY5Er5 after structural relaxation (PBE, Alexandria via LeMat-Bulk).

Results
Formation enthalpy at 0 K in eV per atom: 0.289
D(E_F) in states/eV per cell: 20.435

POSCAR file:
```
LaY5Er5
1.0
-2.0533 4.0905 -4.0152
-3.8442 -2.5788 3.9549
2.0948 8.4745 7.5620
La Y Er
1 5 5
direct
0.3333 0.6667 0.0000
0.6667 0.3333 0.1616
0.6667 0.3333 0.8384
0.3333 0.6667 0.3286
0.3333 0.6667 0.6714
0.0000 0.0000 0.0000
0.3344 0.1672 0.5000
0.0000 0.0000 0.2658
0.8328 0.6656 0.5000
0.8328 0.1672 0.5000
0.0000 0.0000 0.7342
```

Entry 12:
# Sr2ReAsPb

Sr2ReAsPb after structural relaxation (PBE, Alexandria via LeMat-Bulk).

Results
Formation enthalpy at 0 K in eV per atom: 0.915
D(E_F) in states/eV per cell: 5.140

POSCAR file:
```
Sr2ReAsPb
1.0
-3.7366 -2.4615 4.2303
-1.4211 -3.5978 -3.3487
4.5858 -3.6207 1.9438
Pb Re As Sr
1 1 1 2
direct
0.0000 0.0000 0.0000
0.0000 0.5000 0.0000
0.5000 0.5000 0.5000
0.0000 0.0000 0.5000
0.5000 0.0000 0.0000
```

Entry 13:
# NdSm6Tm12

NdSm6Tm12 after structural relaxation (PBE, Alexandria via LeMat-Bulk).

Results
Formation enthalpy at 0 K in eV per atom: 0.117
D(E_F) in states/eV per cell: 29.823
Relative energy among the computed polymorphs in eV per atom: 0.095

POSCAR file:
```
NdSm6Tm12
1.0
8.3371 1.2768 1.5295
-0.0019 8.4343 1.5295
-0.0019 -0.0022 8.5719
Nd Sm Tm
1 6 12
direct
0.0000 0.0000 0.0000
0.7693 0.7692 0.1648
0.8352 0.2307 0.2308
0.2308 0.8352 0.2307
0.2307 0.2308 0.8352
0.1648 0.7693 0.7692
0.7692 0.1648 0.7693
0.8037 0.4845 0.4846
0.4846 0.8037 0.4845
0.4845 0.4846 0.8037
0.1963 0.5155 0.5154
0.5154 0.1963 0.5155
0.5155 0.5154 0.1963
0.1376 0.1375 0.4808
0.8625 0.5192 0.8624
0.5192 0.8624 0.8625
0.8624 0.8625 0.5192
0.1375 0.4808 0.1376
0.4808 0.1376 0.1375
```

Entry 14:
# InSb2IF

InSb2IF after structural relaxation (PBE, Alexandria via LeMat-Bulk).

Results
D(E_F) in states/eV per cell: 3.871
Relative energy among the computed polymorphs in eV per atom: 0.000
Formation energy (no corrections) in meV/atom: -186

POSCAR file:
```
InSb2IF
1.0
-0.0192 -1.3974 4.5610
-2.6601 -3.7829 -1.1702
5.4064 -3.4791 -1.0432
I Sb F In
1 2 1 1
direct
0.0000 0.0000 0.5000
0.0000 0.5000 0.0000
0.5000 0.0000 0.0000
0.0000 0.0000 0.0000
0.5000 0.5000 0.5000
```

Entry 15:
# Mg3GaO4

Mg3GaO4 after structural relaxation (PBE, Alexandria via LeMat-Bulk).

Results
D(E_F) in states/eV per cell: 1.585
Relative energy among the computed polymorphs in eV per atom: 0.009
Formation energy (no corrections) in meV/atom: -2212

POSCAR file:
```
Mg3GaO4
1.0
4.3646 0.0000 0.0000
0.0000 4.3646 0.0000
0.0000 0.0000 4.3646
Mg Ga O
3 1 4
direct
0.0000 0.5000 0.5000
0.5000 0.0000 0.5000
0.5000 0.5000 0.0000
0.0000 0.0000 0.0000
0.5000 0.0000 0.0000
0.5000 0.5000 0.5000
0.0000 0.0000 0.5000
0.0000 0.5000 0.0000
```

Entry 16:
# Tl3Te

Tl3Te after structural relaxation (PBE, Alexandria via LeMat-Bulk).

Results
D(E_F) in states/eV per cell: 2.673
Relative energy among the computed polymorphs in eV per atom: 0.042
Formation energy (no corrections) in meV/atom: -161

POSCAR file:
```
Tl3Te
1.0
-1.9925 0.3761 3.8574
6.0184 -1.3051 3.2360
-1.0942 9.7396 -1.5147
Tl Te
6 2
direct
0.2500 0.8277 0.1447
0.7500 0.1723 0.8553
0.7500 0.2015 0.4030
0.2500 0.7985 0.5970
0.7500 0.6830 0.8553
0.2500 0.3170 0.1447
0.2500 0.3350 0.6699
0.7500 0.6650 0.3301
```

Entry 17:
# Cs4AuICl2

Cs4AuICl2 after structural relaxation (PBE, Alexandria via LeMat-Bulk).

Results
D(E_F) in states/eV per cell: 0.000
Formation energy (no corrections) in meV/atom: -1478

POSCAR file:
```
Cs4AuICl2
1.0
7.3821 0.4011 0.0000
-0.4031 7.3820 0.0001
-3.4895 -3.8914 7.5097
Cs Au I Cl
4 1 1 2
direct
0.9382 0.4378 0.0000
0.4378 0.9382 0.0000
0.1794 0.1794 0.4862
0.6932 0.6932 0.5138
0.9378 0.9378 0.0000
0.4384 0.4384 0.0000
0.1862 0.6862 0.5000
0.6862 0.1862 0.5000
```

Entry 18:
# AlFeOs2

AlFeOs2 after structural relaxation (PBE, Alexandria via LeMat-Bulk).

Results
Formation enthalpy at 0 K in eV per atom: 0.051
D(E_F) in states/eV per cell: 3.399

POSCAR file:
```
AlFeOs2
1.0
5.0347 0.0006 0.0017
2.2073 4.5251 -0.0017
-3.0240 -3.2181 2.4182
Os Fe Al
2 1 1
direct
0.9979 0.9979 0.0000
0.5021 0.5021 0.0000
0.2500 0.7500 0.5000
0.7500 0.2500 0.5000
```

Entry 19:
# Re2WSe6

Re2WSe6 after structural relaxation (PBE, Alexandria via LeMat-Bulk).

Results
D(E_F) in states/eV per cell: 6.928
Formation energy (no corrections) in meV/atom: -256

POSCAR file:
```
Re2WSe6
1.0
3.2933 0.0000 0.0000
-1.6466 6.6493 -2.6080
0.0000 -2.2156 10.0931
Re W Se
2 1 6
direct
0.6428 0.2856 0.7906
0.3572 0.7144 0.2094
0.0000 0.0000 0.5000
0.9975 0.9950 0.7514
0.6930 0.3861 0.0772
0.3070 0.6139 0.9228
0.6663 0.3326 0.5744
0.3337 0.6674 0.4256
0.0025 0.0050 0.2486
```

Entry 20:
# NbHgO3

NbHgO3 after structural relaxation (PBE, Alexandria via LeMat-Bulk).

Results
D(E_F) in states/eV per cell: 2.063
Formation energy (no corrections) in meV/atom: -1610

POSCAR file:
```
NbHgO3
1.0
-3.2931 -1.5924 1.7044
-1.5026 -0.8071 -3.6573
1.7840 -3.6191 0.0657
Nb Hg O
1 1 3
direct
0.0000 0.0000 0.0000
0.5000 0.5000 0.5000
0.0000 0.5000 0.0000
0.0000 0.0000 0.5000
0.5000 0.0000 0.0000
```